The following is a meta-GGA SCAN calculation of a crystal of TlHRh3 relaxed with PBEsol, from Alexandria.

```
5
Lattice="4.948 0.000 0.000 0.000 4.948 0.000 0.000 0.000 4.948" Properties=species:S:1:pos:R:3 pbc="T T T"
Tl 0.000 0.000 0.000
Rh 0.000 2.474 0.000
Rh 2.474 0.000 0.000
Rh 0.000 0.000 2.474
H 2.474 2.474 2.474
```

E: -33.189 eV/atom
total magnetization: 2.99 μB per formula unit
space group: Pm-3m
ΔE to the lowest computed polymorph: 2175 meV/atom
crystal system: cubic

---

The following is a meta-GGA SCAN calculation of a crystal of Ca4YCo relaxed with PBEsol, from Alexandria.

```
6
Lattice="6.540 0.000 0.000 3.270 5.664 0.000 3.270 1.888 5.340" Properties=species:S:1:pos:R:3 pbc="T T T"
Ca 4.912 2.836 2.005
Ca 6.540 3.776 4.664
Ca 8.168 2.836 2.005
Ca 6.540 5.656 2.005
Co 9.810 5.664 4.005
Y 0.000 0.000 0.000
```

E: -13.229 eV/atom
total magnetization: 3.48 μB per formula unit
space group: F-43m
crystal system: cubic

---

The following is a meta-GGA SCAN calculation of a crystal of YIrRu2 relaxed with PBEsol, from Alexandria.

```
4
Lattice="2.866 0.000 0.000 0.000 2.866 0.000 0.000 0.000 7.790" Properties=species:S:1:pos:R:3 pbc="T T T"
Ru 0.000 0.000 0.045
Ru 1.433 1.433 1.660
Ir 1.433 1.433 6.085
Y 0.000 0.000 3.895
```

E: -42.180 eV/atom
total magnetization: 0.00 μB per formula unit
space group: P4mm
ΔE to the lowest computed polymorph: 0 meV/atom
crystal system: tetragonal

---

The following is a meta-GGA SCAN calculation of a crystal of SnB2H relaxed with PBEsol, from Alexandria.

```
4
Lattice="-0.974 -1.846 -3.382 2.696 -2.214 -1.903 -0.369 -3.957 -0.069" Properties=species:S:1:pos:R:3 pbc="T T T"
B 0.338 -2.004 -1.339
B 1.015 -6.012 -4.016
H 0.000 0.000 0.000
Sn 0.676 -4.008 -2.677
```

E: -11.711 eV/atom
total magnetization: 0.00 μB per formula unit
space group: Fm-3m
crystal system: cubic

---

Which value of E does entry 1 give? -33.189 eV/atom

---

Among the records above, which one has the highest total magnetization? Ca4YCo

---

Copy entry 3 word for word.
The following is a meta-GGA SCAN calculation of a crystal of YIrRu2 relaxed with PBEsol, from Alexandria.

```
4
Lattice="2.866 0.000 0.000 0.000 2.866 0.000 0.000 0.000 7.790" Properties=species:S:1:pos:R:3 pbc="T T T"
Ru 0.000 0.000 0.045
Ru 1.433 1.433 1.660
Ir 1.433 1.433 6.085
Y 0.000 0.000 3.895
```

E: -42.180 eV/atom
total magnetization: 0.00 μB per formula unit
space group: P4mm
ΔE to the lowest computed polymorph: 0 meV/atom
crystal system: tetragonal